[1]
Below is an optimized crystal structure of CrP2, with properties calculated at the PBEsol level.

Structure (POSCAR):
```
CrP2
1.0
4.0511 -1.4856 0.0000
4.0511 1.4856 0.0000
-3.4383 0.0000 6.0981
Cr P
2 4
Cartesian
0.5700 0.0000 1.2437
4.0939 0.0000 4.8544
-0.6451 0.0000 3.2279
2.8828 0.0000 0.6091
1.7812 0.0000 5.4891
5.3090 0.0000 2.8702
```

Calculated values
- ΔH_f (0 K) (eV/atom) = -0.546

=====

[2]
Below is an optimized crystal structure of PSeO2, with properties calculated at the PBEsol level.

Structure (POSCAR):
```
PSeO2
1.0
0.0000 3.8033 3.8033
3.8033 0.0000 3.8033
3.8033 3.8033 0.0000
P Se O
2 2 4
Cartesian
0.9508 0.9508 0.9508
6.6558 6.6558 6.6558
2.8525 2.8525 2.8525
4.7541 4.7541 4.7541
0.0000 0.0000 0.0000
1.9017 1.9017 0.0000
1.9017 0.0000 1.9017
0.0000 1.9017 1.9017
```

Calculated values
- energy above the most stable polymorph in this dataset (eV/f.u.) = 0.00

=====

[3]
Below is an optimized crystal structure of CrIrPt2, with properties calculated at the PBEsol level.

Structure (POSCAR):
```
CrIrPt2
1.0
2.6922 0.0000 0.0000
0.0000 2.6922 0.0000
0.0000 0.0000 7.6316
Cr Ir Pt
1 1 2
Cartesian
0.0000 0.0000 0.0000
1.3461 1.3461 1.6611
0.0000 0.0000 3.7120
1.3461 1.3461 5.8144
```

Calculated values
- ΔH_f (0 K) (eV/atom) = -0.179

=====

[4]
Below is an optimized crystal structure of Ba2Ca7I18, with properties calculated at the PBEsol level.

Structure (POSCAR):
```
Ba2Ca7I18
1.0
10.0976 0.0000 0.0000
-1.0919 10.7842 0.0000
-4.9798 -1.5027 10.0966
Ba Ca I
2 7 18
Cartesian
0.4213 3.6322 2.2970
3.6047 5.6493 7.7996
-2.6549 0.1057 7.0688
-0.9586 7.4873 6.1473
1.5036 8.6064 1.2338
4.5029 5.3921 0.0000
2.5224 0.6750 8.8628
4.9846 1.7941 3.9494
6.6809 9.1758 3.0278
-4.6098 0.4387 9.4048
-2.9518 2.8382 5.8259
-3.4298 7.9061 8.1436
-3.5871 4.3194 9.8077
-0.3362 -0.4281 5.0928
0.9593 6.8638 3.7439
2.5198 0.6433 2.4579
-0.5205 0.9311 9.1685
0.1946 4.8637 7.2699
3.8314 4.4177 2.8267
4.5464 8.3504 0.9281
1.5062 8.6382 7.6387
3.0667 2.4177 6.3528
4.3622 9.7095 5.0038
7.6131 4.9621 0.2889
7.4558 1.3754 1.9530
6.9778 6.4433 4.2707
8.6358 8.8428 0.6918
```

=====

[5]
Below is an optimized crystal structure of KCuCl2, with properties calculated at the PBEsol level.

Structure (POSCAR):
```
KCuCl2
1.0
0.0000 3.4271 3.4271
3.4271 0.0000 3.4271
3.4271 3.4271 0.0000
K Cu Cl
1 1 2
Cartesian
0.0000 0.0000 0.0000
3.4271 3.4271 3.4271
1.7135 1.7135 1.7135
5.1406 5.1406 5.1406
```

Calculated values
- energy above the most stable polymorph in this dataset (eV/f.u.) = 1.57

=====

[6]
Below is an optimized crystal structure of Mg2CoRe, with properties calculated at the PBEsol level.

Structure (POSCAR):
```
Mg2CoRe
1.0
1.3811 0.7974 8.9743
-1.3811 0.7974 8.9743
0.0000 -1.5947 8.9743
Mg Co Re
2 1 1
Cartesian
0.0000 0.0000 6.5999
0.0000 0.0000 20.3231
0.0000 0.0000 13.4615
0.0000 0.0000 0.0000
```

Calculated values
- ΔH_f (0 K) (eV/atom) = 0.378
- energy above the most stable polymorph in this dataset (eV/f.u.) = 1.09

=====

[7]
Below is an optimized crystal structure of NaTc2MoO, with properties calculated at the PBEsol level.

Structure (POSCAR):
```
NaTc2MoO
1.0
4.4772 0.0000 0.0000
0.0000 4.4772 0.0000
0.0000 0.0000 4.7068
Na Tc Mo O
1 2 1 1
Cartesian
0.0000 0.0000 0.0000
0.0000 2.2386 0.0000
2.2386 0.0000 0.0000
0.0000 0.0000 2.3534
2.2386 2.2386 2.3534
```

=====

[8]
Below is an optimized crystal structure of PtW2Se, with properties calculated at the PBEsol level.

Structure (POSCAR):
```
PtW2Se
1.0
1.4544 0.8397 8.8160
-1.4544 0.8397 8.8160
0.0000 -1.6794 8.8160
Pt W Se
1 2 1
Cartesian
0.0000 0.0000 0.0000
0.0000 0.0000 13.2766
0.0000 0.0000 19.7438
0.0000 0.0000 6.3233
```

=====

DFT total energy for the records above, in order: -7.821; -5.524; -8.677; -3.475; -3.098; -5.748; -4.822; -9.457 eV per atom